PBE-GGA Sr3Er2UP6, relaxed; formation energy = -1242 meV/atom; symmetry = No. 12
1.0
3.5497 -6.1488 0.0000
3.5497 6.1488 0.0000
-2.3681 0.0000 6.9394
Sr Er U P
3 2 1 6
direct
0.0000 0.0000 0.0000
0.3300 0.6700 0.0000
0.6700 0.3300 0.0000
0.1662 0.8338 0.5000
0.8338 0.1662 0.5000
0.5000 0.5000 0.5000
0.1101 0.4290 0.2861
0.2537 0.2537 0.7135
0.4290 0.1101 0.2861
0.5710 0.8899 0.7139
0.7463 0.7463 0.2865
0.8899 0.5710 0.7139